# 1
Below is crystalline KMg2Be at its relaxed geometry, with properties calculated at the PBE-GGA level.

ΔH_f (0 K) in eV/atom: 0.71
Volume in Å³/f.u.: 106.1

abc: 4.693 4.693 4.816
angles: 90.00 90.00 90.00
Space group P4/mmm (No. 123)
Symmetry-distinct sites (fractional):
K (0.000, 0.000, 0.000)
Mg (0.000, 0.500, 0.500)
Be (0.500, 0.500, 0.000)



# 2
Below is crystalline Sr2Sc2Be at its relaxed geometry, with properties calculated at the PBE-GGA level.

ΔH_f (0 K) in eV/atom: 0.47
Volume in Å³/f.u.: 154.1

abc: 7.246 7.246 5.870
angles: 90.00 90.00 90.00
Space group P4/mbm (No. 127)
Symmetry-distinct sites (fractional):
Sr (0.178, 0.322, 0.000)
Sc (0.155, 0.655, 0.500)
Be (0.000, 0.000, 0.500)



# 3
Below is crystalline FeNi2Mo2 at its relaxed geometry, with properties calculated at the PBE-GGA level.

ΔH_f (0 K) in eV/atom: 0.26
Volume in Å³/f.u.: 65.4

abc: 6.323 6.323 3.270
angles: 90.00 90.00 90.00
Space group P4/mbm (No. 127)
Symmetry-distinct sites (fractional):
Fe (0.000, 0.000, 0.000)
Ni (0.130, 0.370, 0.000)
Mo (0.176, 0.676, 0.500)



# 4
Below is crystalline BiPtSe2N at its relaxed geometry, with properties calculated at the PBE-GGA level.

Volume in Å³/f.u.: 104.7
Formation energy (no corrections) in kJ/mol of formula units: 167

abc: 5.297 5.297 3.732
angles: 90.00 90.00 90.00
Space group P4/mmm (No. 123)
Symmetry-distinct sites (fractional):
Bi (0.000, 0.000, 0.000)
Pt (0.500, 0.500, 0.500)
Se (0.000, 0.500, 0.500)
N (0.500, 0.500, 0.000)



Copy entry 3 word for word.
Below is crystalline FeNi2Mo2 at its relaxed geometry, with properties calculated at the PBE-GGA level.

ΔH_f (0 K) in eV/atom: 0.26
Volume in Å³/f.u.: 65.4

abc: 6.323 6.323 3.270
angles: 90.00 90.00 90.00
Space group P4/mbm (No. 127)
Symmetry-distinct sites (fractional):
Fe (0.000, 0.000, 0.000)
Ni (0.130, 0.370, 0.000)
Mo (0.176, 0.676, 0.500)



What did the fourth record say?
Below is crystalline BiPtSe2N at its relaxed geometry, with properties calculated at the PBE-GGA level.

Volume in Å³/f.u.: 104.7
Formation energy (no corrections) in kJ/mol of formula units: 167

abc: 5.297 5.297 3.732
angles: 90.00 90.00 90.00
Space group P4/mmm (No. 123)
Symmetry-distinct sites (fractional):
Bi (0.000, 0.000, 0.000)
Pt (0.500, 0.500, 0.500)
Se (0.000, 0.500, 0.500)
N (0.500, 0.500, 0.000)



Question: Which formula does entry 2 have?
Answer: Sr2Sc2Be



Question: volume of number 3 (FeNi2Mo2)?
Answer: 65.4 Å³/f.u.